1.
VASP calculation (PBE) on a geometry-optimized Er5RhAu4 structure.

**E_tot**: -5.216 eV/atom

Cell lengths 3.5271, 3.5271, 17.7386 Å; angles 90.00, 90.00, 90.00 degrees
Closest atoms and distances in Å follow each position.
Space group P4/mmm (No. 123)
Unique sites:
Er  0.0000  0.0000  0.0000 (multiplicity 1)  8 Au 3.07
Er  0.0000  0.0000  0.2048 (multiplicity 2)  8 Au 3.07-3.10
Er  0.0000  0.0000  0.4079 (multiplicity 2)  4 Rh 2.98, 4 Au 3.08, 1 Er 3.27
Rh  0.5000  0.5000  0.5000 (multiplicity 1)  8 Er 2.98
Au  0.5000  0.5000  0.1011 (multiplicity 2)  8 Er 3.07-3.10
Au  0.5000  0.5000  0.3059 (multiplicity 2)  8 Er 3.07-3.08

***

2.
VASP calculation (PBE) on a geometry-optimized ErRh4Au structure.

**E_tot**: -6.549 eV/atom

Cell lengths 7.4042, 7.4042, 7.4042 Å; angles 90.00, 90.00, 90.00 degrees
Closest atoms and distances in Å follow each position.
Space group F-43m (No. 216)
Unique sites:
Er  0.0000  0.0000  0.0000 (multiplicity 4)  12 Rh 3.07, 4 Au 3.21
Rh  0.1246  0.1246  0.3754 (multiplicity 16)  6 Rh 2.61-2.63
Au  0.2500  0.2500  0.7500 (multiplicity 4)  12 Rh 3.07, 4 Er 3.21

***

3.
VASP calculation (PBE) on a geometry-optimized Er4RuRh2Au structure.

**E_tot**: -6.469 eV/atom

Cell lengths 4.8596, 4.8596, 23.7311 Å; angles 90.00, 90.00, 120.00 degrees
Closest atoms and distances in Å follow each position.
Space group R-3m (No. 166, hexagonal axes)
Unique sites:
Er  0.0000  0.0000  0.1214 (multiplicity 6)  1 Ru 2.88, 4 Rh 2.95-3.07, 3 Au 3.00
Er  0.0000  0.0000  0.3721 (multiplicity 6)  4 Rh 2.88-2.99, 3 Ru 2.95, 1 Au 3.04
Ru  0.0000  0.0000  0.0000 (multiplicity 3)  8 Er 2.88-2.95
Rh  0.0000  0.0000  0.2508 (multiplicity 6)  8 Er 2.88-3.07
Au  0.0000  0.0000  0.5000 (multiplicity 3)  8 Er 3.00-3.04

***

4.
VASP calculation (PBE) on a geometry-optimized ErSbRhAu structure.

**Formation energy without anion corrections**: -583 meV/atom
**E_tot**: -5.412 eV/atom

Cell lengths 6.8541, 6.8541, 6.8541 Å; angles 90.00, 90.00, 90.00 degrees
Closest atoms and distances in Å follow each position.
Space group F-43m (No. 216)
Unique sites:
Er  0.0000  0.0000  0.0000 (multiplicity 4)  4 Rh 2.97, 4 Au 2.97
Sb  0.0000  0.0000  0.5000 (multiplicity 4)  4 Rh 2.97, 4 Au 2.97
Rh  0.2500  0.2500  0.2500 (multiplicity 4)  4 Sb 2.97, 4 Er 2.97
Au  0.2500  0.2500  0.7500 (multiplicity 4)  4 Sb 2.97, 4 Er 2.97

***

5.
VASP calculation (PBE) on a geometry-optimized Er2Si2Rh5Au structure.

**Formation energy without anion corrections**: -893 meV/atom
**E_tot**: -6.894 eV/atom

Cell lengths 9.7211, 9.7211, 3.4923 Å; angles 90.00, 90.00, 90.00 degrees
Closest atoms and distances in Å follow each position.
Space group P4/mbm (No. 127)
Unique sites:
Er  0.1747  0.3253  0.0000 (multiplicity 4)  3 Si 2.76-2.95, 6 Rh 2.97-3.07
Si  0.1245  0.6245  0.0000 (multiplicity 4)  6 Rh 2.40-2.44
Rh  0.0000  0.5000  0.5000 (multiplicity 2)  4 Si 2.44
Rh  0.0691  0.7847  0.5000 (multiplicity 8)  2 Si 2.40
Au  0.0000  0.0000  0.0000 (multiplicity 2)  8 Rh 2.81

***

6.
VASP calculation (PBE) on a geometry-optimized SmErRhAu structure.

**Excess energy over the best structure of this formula in the dataset**: 0.0 meV per atom
**E_tot**: -5.809 eV/atom

Cell lengths 4.6044, 3.7988, 10.5088 Å; angles 90.00, 90.00, 90.00 degrees
Closest atoms and distances in Å follow each position.
Space group Amm2 (No. 38)
Unique sites:
Sm  0.0000  0.0000  0.0000 (multiplicity 2)  1 Rh 2.77, 4 Au 3.06
Er  0.5000  0.0000  0.7195 (multiplicity 2)  3 Au 2.97, 4 Rh 3.02
Rh  0.0000  0.0000  0.2638 (multiplicity 2)  1 Sm 2.77, 2 Au 2.93, 4 Er 3.02
Au  0.5000  0.0000  0.4370 (multiplicity 2)  2 Rh 2.93, 3 Er 2.97, 4 Sm 3.06

***

7.
VASP calculation (PBE) on a geometry-optimized SmErRhAu structure.

**Excess energy over the best structure of this formula in the dataset**: 39.8 meV per atom
**E_tot**: -5.769 eV/atom

Cell lengths 7.0821, 7.0821, 7.0821 Å; angles 90.00, 90.00, 90.00 degrees
Closest atoms and distances in Å follow each position.
Space group F-43m (No. 216)
Unique sites:
Sm  0.0000  0.0000  0.0000 (multiplicity 4)  4 Rh 3.07, 4 Au 3.07
Er  0.0000  0.0000  0.5000 (multiplicity 4)  4 Rh 3.07, 4 Au 3.07
Rh  0.2500  0.2500  0.7500 (multiplicity 4)  4 Er 3.07, 4 Sm 3.07
Au  0.2500  0.2500  0.2500 (multiplicity 4)  4 Er 3.07, 4 Sm 3.07

***

8.
VASP calculation (PBE) on a geometry-optimized ErSnRhAu structure.

**E_tot**: -5.444 eV/atom

Cell lengths 6.8145, 6.8145, 6.8145 Å; angles 90.00, 90.00, 90.00 degrees
Closest atoms and distances in Å follow each position.
Space group F-43m (No. 216)
Unique sites:
Er  0.0000  0.0000  0.0000 (multiplicity 4)  4 Rh 2.95, 4 Au 2.95
Sn  0.0000  0.0000  0.5000 (multiplicity 4)  4 Au 2.95, 4 Rh 2.95
Rh  0.2500  0.2500  0.2500 (multiplicity 4)  4 Sn 2.95, 4 Er 2.95
Au  0.2500  0.2500  0.7500 (multiplicity 4)  4 Er 2.95, 4 Sn 2.95

***

9.
VASP calculation (PBE) on a geometry-optimized ErThRhAu structure.

**E_tot**: -6.387 eV/atom

Cell lengths 7.1650, 7.1650, 7.1650 Å; angles 90.00, 90.00, 90.00 degrees
Closest atoms and distances in Å follow each position.
Space group F-43m (No. 216)
Unique sites:
Er  0.0000  0.0000  0.0000 (multiplicity 4)  4 Au 3.10, 4 Rh 3.10
Th  0.0000  0.0000  0.5000 (multiplicity 4)  4 Rh 3.10, 4 Au 3.10
Rh  0.2500  0.2500  0.2500 (multiplicity 4)  4 Th 3.10, 4 Er 3.10
Au  0.2500  0.2500  0.7500 (multiplicity 4)  4 Th 3.10, 4 Er 3.10

***

10.
VASP calculation (PBE) on a geometry-optimized ErTh2Rh5Au structure.

**E_tot**: -6.959 eV/atom

Cell lengths 8.3560, 8.3560, 11.0093 Å; angles 90.00, 90.00, 90.00 degrees
Closest atoms and distances in Å follow each position.
Space group I4/mcm (No. 140)
Unique sites:
Er  0.0000  0.0000  0.2500 (multiplicity 4)  2 Rh 2.75
Th  0.1383  0.3617  0.0000 (multiplicity 8)  2 Rh 2.49
Rh  0.0000  0.0000  0.0000 (multiplicity 4)  2 Er 2.75
Rh  0.1945  0.3055  0.3630 (multiplicity 16)  1 Th 2.49, 1 Au 2.61
Au  0.0000  0.5000  0.2500 (multiplicity 4)  4 Rh 2.61

***

11.
VASP calculation (PBE) on a geometry-optimized Er5Tl2Rh2Au structure.

**E_tot**: -5.202 eV/atom

Cell lengths 11.6419, 11.6419, 3.5985 Å; angles 90.00, 90.00, 90.00 degrees
Closest atoms and distances in Å follow each position.
Space group P4/mbm (No. 127)
Unique sites:
Er  0.0000  0.5000  0.0000 (multiplicity 2)  4 Rh 2.85
Er  0.0779  0.1988  0.0000 (multiplicity 8)  2 Rh 2.73
Tl  0.1709  0.6709  0.5000 (multiplicity 4)  3 Rh 3.21-3.57, 6 Er 3.34-3.45, 2 Tl 3.60
Rh  0.1339  0.3661  0.5000 (multiplicity 4)  6 Er 2.73-2.85
Au  0.0000  0.0000  0.5000 (multiplicity 2)  8 Er 3.07

***

12.
VASP calculation (PBE) on a geometry-optimized ErTmRhAu structure.

**Excess energy over the best structure of this formula in the dataset**: 20.1 meV per atom
**E_tot**: -5.795 eV/atom

Cell lengths 6.9589, 6.9589, 6.9589 Å; angles 90.00, 90.00, 90.00 degrees
Closest atoms and distances in Å follow each position.
Space group F-43m (No. 216)
Unique sites:
Er  0.0000  0.0000  0.0000 (multiplicity 4)  4 Rh 3.01, 4 Au 3.01
Tm  0.0000  0.0000  0.5000 (multiplicity 4)  4 Rh 3.01, 4 Au 3.01
Rh  0.2500  0.2500  0.7500 (multiplicity 4)  4 Er 3.01, 4 Tm 3.01
Au  0.2500  0.2500  0.2500 (multiplicity 4)  4 Tm 3.01, 4 Er 3.01